# Cr2CuRe PBE optimized geometry
data_Cr2CuRe
_cell_length_a 3.030
_cell_length_b 4.124
_cell_length_c 8.269
_cell_angle_alpha 90.00
_cell_angle_beta 90.00
_cell_angle_gamma 90.00
_symmetry_space_group_name_H-M 'C m m m'
_symmetry_Int_Tables_number 65
_symmetry_space_group_name_Hall '-C 2 2'
loop_
_atom_site_label
_atom_site_fract_x
_atom_site_fract_y
_atom_site_fract_z
Cr1 0.000 0.000 0.247
Cu1 0.000 0.500 0.000
Re1 0.000 0.500 0.500
# D(E_F)	8.653	states/eV per cell
# spin magnetization	0.0000	μB/atom
# E_tot	-69.6	eV for the cell shown
# formation enthalpy at 0 K	0.250	eV per atom

***

# CrCu2Re PBE optimized geometry
data_CrCu2Re
_cell_length_a 2.6360
_cell_length_b 2.6360
_cell_length_c 26.0215
_cell_angle_alpha 90.00
_cell_angle_beta 90.00
_cell_angle_gamma 120.00
_symmetry_space_group_name_H-M 'R 3 m'
_symmetry_Int_Tables_number 160
_symmetry_space_group_name_Hall 'R 3 -2"'
loop_
_atom_site_label
_atom_site_fract_x
_atom_site_fract_y
_atom_site_fract_z
Cr1 0.0000 0.0000 0.0000
Cu1 0.0000 0.0000 0.4951
Cu2 0.0000 0.0000 0.7482
Re1 0.0000 0.0000 0.2491
# D(E_F)	11.360	states/eV per cell
# spin magnetization	0.0000	μB/atom
# E_tot	-87.6	eV for the cell shown
# formation enthalpy at 0 K	0.267	eV per atom

***

# CrCu2Re PBE optimized geometry
data_CrCu2Re
_cell_length_a 2.535
_cell_length_b 4.124
_cell_length_c 4.947
_cell_angle_alpha 90.00
_cell_angle_beta 97.08
_cell_angle_gamma 90.00
_symmetry_space_group_name_H-M 'P 1 m 1'
_symmetry_Int_Tables_number 6
loop_
_symmetry_equiv_pos_as_xyz
'x,y,z'
'x,-y,z'
loop_
_atom_site_label
_atom_site_fract_x
_atom_site_fract_y
_atom_site_fract_z
Cr1 0.000 0.000 0.000
Cu1 0.591 0.500 0.252
Cu2 0.639 0.000 0.496
Re1 0.210 0.500 0.750
# D(E_F)	2.837	states/eV per cell
# spin magnetization	0.0000	μB/atom
# E_tot	-29.3	eV for the cell shown
# formation enthalpy at 0 K	0.245	eV per atom